[1]
First-principles (PBE) data for a relaxed structure of Y2ThMn, as listed in Alexandria.

a = 3.508 Å, b = 3.508 Å, c = 8.899 Å
α = 90.00°, β = 90.00°, γ = 90.00°
Fractional coordinates of all 4 atoms:
1 Y 0.000 0.000 0.203
2 Y 0.000 0.000 0.797
3 Th 0.500 0.500 0.500
4 Mn 0.500 0.500 0.000

Results
The magnetic moment comes out at 0.783 μB per atom. As for the energy: -7.2241 eV/atom. Its crystal system is tetragonal.

=====

[2]
First-principles (PBE) data for a relaxed structure of YThMn2, as listed in Alexandria.

a = 3.596 Å, b = 3.596 Å, c = 6.892 Å
α = 90.00°, β = 90.00°, γ = 90.00°
Fractional coordinates of all 4 atoms:
1 Y 0.000 0.000 0.000
2 Th 0.000 0.000 0.500
3 Mn 0.500 0.500 0.286
4 Mn 0.500 0.500 0.714

Results
The magnetic moment comes out at 1.263 μB per atom. As for the energy: -7.8743 eV/atom. Its crystal system is tetragonal.

=====

| no. | ΔE_f (eV/atom) | density of states at the Fermi level (states/eV per atom) |
| --- | --- | --- |
| 1 | 0.16 | 1.463 |
| 2 | 0.18 | 1.246 |